# 1
Here is an optimized crystal structure of Ho12Co6Sb from Alexandria. Energies are from PBE.

a = 9.622 Å, b = 9.622 Å, c = 9.622 Å
α = 90.00°, β = 90.00°, γ = 90.00°
Space group Im-3 (No. 204)
Unique sites:
Ho (0.000, 0.196, 0.304) [24 per cell]
Co (0.000, 0.387, 0.500) [12 per cell]
Sb (0.000, 0.000, 0.000) [2 per cell]

Computed properties:
E_tot   -5.675 eV per atom
Uncorrected formation energy   -0.323 eV/atom
Theoretical density   9.2 Mg/m³


# 2
Here is an optimized crystal structure of NdSm2YEr2 from Alexandria. Energies are from PBE.

a = 6.570 Å, b = 17.982 Å, c = 3.420 Å
α = 90.00°, β = 90.00°, γ = 90.00°
Space group Pnnm (No. 58)
Unique sites:
Nd (0.000, 0.000, 0.000) [2 per cell]
Sm (0.226, 0.187, 0.000) [4 per cell]
Y (0.000, 0.500, 0.000) [2 per cell]
Er (0.223, 0.353, 0.500) [4 per cell]

Computed properties:
E_tot   -4.699 eV per atom
Theoretical density   7.1 Mg/m³
Formation energy from the elements   267.3 meV/atom


# 3
Here is an optimized crystal structure of NpAg2Se2S from Alexandria. Energies are from PBE.

a = 11.830 Å, b = 6.535 Å, c = 7.103 Å
α = 90.00°, β = 90.00°, γ = 90.00°
Space group Cmcm (No. 63)
Unique sites:
Np (0.000, 0.000, 0.000) [4 per cell]
Ag (0.147, 0.500, 0.000) [8 per cell]
Se (0.163, 0.178, 0.250) [8 per cell]
S (0.000, 0.306, 0.750) [4 per cell]

Computed properties:
E_tot   -5.490 eV per atom
Uncorrected formation energy   -0.533 eV/atom
Theoretical density   7.8 Mg/m³